Below is a relaxed RbCuBiO4 crystal, with properties calculated at the PBE level.

Summary:
- total DFT energy (no corrections) (eV per atom) = -4.971

Unit cell a=5.825 b=5.895 c=7.386 alpha=90.00 beta=103.84 gamma=90.00
Element x y z (fractional)
Rb 0.176 0.250 0.090
Rb 0.824 0.750 0.910
Cu 0.399 0.250 0.684
Cu 0.601 0.750 0.316
Bi 0.163 0.750 0.468
Bi 0.837 0.250 0.532
O 0.144 0.021 0.675
O 0.144 0.479 0.675
O 0.279 0.750 0.207
O 0.457 0.250 0.444
O 0.543 0.750 0.556
O 0.721 0.250 0.793
O 0.856 0.521 0.325
O 0.856 0.979 0.325